## KScTl2 (PBE-GGA)

Data for a relaxed structure of KScTl2.

Summary:
Its offset from the most stable computed form is 123 meV per atom. The formation energy is -19 meV/atom.

a = 3.6007 Å, b = 3.6007 Å, c = 31.9278 Å
α = 90.00°, β = 90.00°, γ = 120.00°
Last column: nearest neighbours and their distance in Å.
Space group R-3m (No. 166, hexagonal axes)
Inequivalent atoms, fractional coordinates:
K  0.0000  0.0000  0.0000 (multiplicity 3)  6 K 3.60, 6 Tl 3.62
Sc  0.0000  0.0000  0.5000 (multiplicity 3)  6 Tl 3.15
Tl  0.0000  0.0000  0.2407 (multiplicity 6)  3 Sc 3.15

## KScTl2 (PBE-GGA)

Data for a relaxed structure of KScTl2.

Summary:
Its offset from the most stable computed form is 438 meV per atom. The formation energy is 296 meV/atom.

a = 5.6268 Å, b = 5.6268 Å, c = 20.1869 Å
α = 90.00°, β = 90.00°, γ = 90.00°
Last column: nearest neighbours and their distance in Å.
Space group I-42d (No. 122)
Inequivalent atoms, fractional coordinates:
K  0.0000  0.0000  0.0000 (multiplicity 4)  4 Tl 3.56, 4 Sc 3.98
Sc  0.0000  0.0000  0.5000 (multiplicity 4)  4 Tl 2.98
Tl  0.1292  0.2500  0.6250 (multiplicity 8)  2 Sc 2.98, 2 Tl 3.17

## KScTl (PBE-GGA)

Data for a relaxed structure of KScTl.

Summary:
Its offset from the most stable computed form is 953 meV per atom. The formation energy is 865 meV/atom.

a = 7.5213 Å, b = 7.5213 Å, c = 7.5213 Å
α = 90.00°, β = 90.00°, γ = 90.00°
Last column: nearest neighbours and their distance in Å.
Space group F-43m (No. 216)
Inequivalent atoms, fractional coordinates:
K  0.0000  0.0000  0.0000 (multiplicity 4)  4 Sc 3.26, 4 Tl 3.26
Sc  0.2500  0.2500  0.2500 (multiplicity 4)  4 K 3.26
Tl  0.2500  0.2500  0.7500 (multiplicity 4)  4 K 3.26